Material: Li3Nb4NiO12
Method: DFT, meta-GGA SCAN
State: single point on PBEsol structure

Lattice parameters (Å, degrees): 5.1358 5.5362 7.5551 84.04 89.98 89.91
Last column: nearest neighbours and their distance in Å.
Space group P1 (No. 1)
Asymmetric unit:
Li (0.0000, 0.0000, 0.0000) (multiplicity 1)  5 O 2.03-2.25
Li (0.0008, 0.9928, 0.5029) (multiplicity 1)  4 O 2.00-2.24
Li (0.5030, 0.4982, 0.9967) (multiplicity 1)  5 O 2.02-2.25
Nb (0.9997, 0.5647, 0.2845) (multiplicity 1)  4 O 1.90-2.09
Nb (0.0014, 0.5679, 0.7869) (multiplicity 1)  6 O 1.92-2.13
Nb (0.5007, 0.0611, 0.2829) (multiplicity 1)  3 O 1.91-1.92
Nb (0.5023, 0.0665, 0.7852) (multiplicity 1)  5 O 1.90-2.12
Ni (0.5025, 0.4667, 0.4865) (multiplicity 1)  6 O 2.05-2.15
O (0.1345, 0.6041, 0.0489) (multiplicity 1)  2 Nb 1.90-2.12, 1 Li 2.03
O (0.1787, 0.9167, 0.7405) (multiplicity 1)  2 Nb 1.90-2.13, 1 Li 2.02
O (0.1902, 0.2744, 0.3734) (multiplicity 1)  2 Nb 1.94-2.14, 1 Li 2.01, 1 Ni 2.15
O (0.3167, 0.7742, 0.3748) (multiplicity 1)  1 Nb 1.92, 1 Ni 2.05
O (0.3280, 0.4212, 0.7350) (multiplicity 1)  1 Nb 1.92, 1 Ni 2.07
O (0.3703, 0.1041, 0.0455) (multiplicity 1)  2 Nb 1.91-2.11, 1 Li 2.03
O (0.6385, 0.1090, 0.5448) (multiplicity 1)  2 Nb 1.94-2.14, 1 Li 2.00, 1 Ni 2.10
O (0.6740, 0.4124, 0.2359) (multiplicity 1)  2 Nb 1.93-2.14, 1 Li 2.02, 1 Ni 2.14
O (0.6976, 0.7869, 0.8713) (multiplicity 1)  2 Nb 1.90-2.11, 1 Li 2.03
O (0.8054, 0.2850, 0.8714) (multiplicity 1)  2 Nb 1.92-2.12, 1 Li 2.03
O (0.8284, 0.9090, 0.2411) (multiplicity 1)  2 Nb 1.92-2.09, 1 Li 2.04
O (0.8654, 0.6069, 0.5483) (multiplicity 1)  2 Nb 1.92-2.14, 1 Ni 2.09

Values from the calculation:
DOS(E_F) = 4.340 states/eV per cell
size of the total moment = 0.9 μB/f.u.
formation energy (no corrections) = -2525 meV per atom